No. 1
Below is crystalline InHgOs2I at its relaxed geometry, with properties calculated at the GGA-PBEsol level.

SG: P4/mmm (123)
Density of states at the Fermi level, states/eV/cell: 5.9
E_tot, eV per formula unit: -18.34
Magnetization, μB/f.u.: 4.114

a = 5.0159 Å, b = 5.0159 Å, c = 5.2017 Å
α = 90.00°, β = 90.00°, γ = 90.00°
Element x y z (fractional)
In1 0.0000 0.0000 0.0000
Hg1 0.0000 0.0000 0.5000
Os1 0.0000 0.5000 0.0000
Os2 0.5000 0.0000 0.0000
I1 0.5000 0.5000 0.5000

No. 2
Below is crystalline BaMnO3 at its relaxed geometry, with properties calculated at the GGA-PBEsol level.

SG: P6_3mc (186)
Density of states at the Fermi level, states/eV/cell: 1.7
E_tot, eV per formula unit: -38.94
Magnetization, μB/f.u.: 2.996

a = 5.6686 Å, b = 5.6686 Å, c = 4.8574 Å
α = 90.00°, β = 90.00°, γ = 120.00°
Element x y z (fractional)
Ba1 0.3333 0.6667 0.0000
Ba2 0.6667 0.3333 0.5000
Mn1 0.0000 0.0000 0.2337
Mn2 0.0000 0.0000 0.7337
O1 0.1490 0.2980 0.4829
O2 0.1490 0.8510 0.4829
O3 0.2980 0.1490 0.9829
O4 0.7020 0.8510 0.4829
O5 0.8510 0.1490 0.9829
O6 0.8510 0.7020 0.9829

No. 3
Below is crystalline Ag2GeSe3 at its relaxed geometry, with properties calculated at the GGA-PBEsol level.

SG: Cmc2_1 (36)
Density of states at the Fermi level, states/eV/cell: 1.3
E_tot, eV per formula unit: -24.00
Magnetization, μB/f.u.: 0.000

a = 7.1087 Å, b = 7.1087 Å, c = 6.7680 Å
α = 90.00°, β = 90.00°, γ = 60.80°
Element x y z (fractional)
Ag1 0.0018 0.6831 0.5000
Ag2 0.3169 0.9982 0.5000
Ag3 0.6831 0.0018 0.0000
Ag4 0.9982 0.3169 0.0000
Ge1 0.3352 0.6648 0.9673
Ge2 0.6648 0.3352 0.4673
Se1 0.0209 0.6561 0.8800
Se2 0.3439 0.9791 0.8800
Se3 0.3483 0.6517 0.3370
Se4 0.6517 0.3483 0.8370
Se5 0.6561 0.0209 0.3800
Se6 0.9791 0.3439 0.3800

No. 4
Below is crystalline Te2HIr2 at its relaxed geometry, with properties calculated at the GGA-PBEsol level.

SG: I4/mmm (139)
Density of states at the Fermi level, states/eV/cell: 2.8
E_tot, eV per formula unit: -28.67
Magnetization, μB/f.u.: 0.000

a = 4.8527 Å, b = 4.8527 Å, c = 4.8527 Å
α = 114.04°, β = 114.04°, γ = 100.67°
Element x y z (fractional)
Te1 0.2500 0.7500 0.5000
Te2 0.7500 0.2500 0.5000
H1 0.0000 0.0000 0.0000
Ir1 0.2887 0.2887 0.0000
Ir2 0.7113 0.7113 0.0000

No. 5
Below is crystalline BeZnPb2 at its relaxed geometry, with properties calculated at the GGA-PBEsol level.

SG: P2/m (10)
Density of states at the Fermi level, states/eV/cell: 1.8
E_tot, eV per formula unit: -11.64
Formation energy from the elements, eV/atom: 0.486
Magnetization, μB/f.u.: 0.000

a = 3.3852 Å, b = 3.7471 Å, c = 6.8822 Å
α = 90.00°, β = 100.90°, γ = 90.00°
Element x y z (fractional)
Be1 0.0000 0.0000 0.0000
Zn1 0.0000 0.0000 0.5000
Pb1 0.4426 0.5000 0.2335
Pb2 0.5574 0.5000 0.7665

No. 6
Below is crystalline AgAu3 at its relaxed geometry, with properties calculated at the GGA-PBEsol level.

SG: Fm-3m (225)
Density of states at the Fermi level, states/eV/cell: 1.0
E_tot, eV per formula unit: -15.11
Formation energy from the elements, eV/atom: -0.007
Magnetization, μB/f.u.: 0.000

a = 4.5707 Å, b = 4.5707 Å, c = 4.5707 Å
α = 60.00°, β = 60.00°, γ = 60.00°
Element x y z (fractional)
Ag1 0.0000 0.0000 0.0000
Au1 0.2500 0.2500 0.2500
Au2 0.5000 0.5000 0.5000
Au3 0.7500 0.7500 0.7500

No. 7
Below is crystalline CsAgCl3 at its relaxed geometry, with properties calculated at the GGA-PBEsol level.

SG: I4/mmm (139)
Density of states at the Fermi level, states/eV/cell: 1.4
E_tot, eV per formula unit: -15.81
Magnetization, μB/f.u.: 0.000

a = 7.2402 Å, b = 7.2402 Å, c = 7.2402 Å
α = 120.87°, β = 120.87°, γ = 88.49°
Element x y z (fractional)
Cs1 0.2500 0.7500 0.5000
Cs2 0.7500 0.2500 0.5000
Ag1 0.0000 0.0000 0.0000
Ag2 0.5000 0.5000 0.0000
Cl1 0.2318 0.2318 0.0000
Cl2 0.2593 0.2593 0.5185
Cl3 0.2593 0.7407 0.0000
Cl4 0.7407 0.2593 0.0000
Cl5 0.7407 0.7407 0.4815
Cl6 0.7682 0.7682 0.0000

No. 8
Below is crystalline SrCoP4 at its relaxed geometry, with properties calculated at the GGA-PBEsol level.

SG: F-43m (216)
Density of states at the Fermi level, states/eV/cell: 5.0
E_tot, eV per formula unit: -31.07
Formation energy from the elements, eV/atom: 0.279
Magnetization, μB/f.u.: 1.761

a = 5.2430 Å, b = 5.2430 Å, c = 5.2430 Å
α = 60.00°, β = 60.00°, γ = 60.00°
Element x y z (fractional)
Sr1 0.0000 0.0000 0.0000
Co1 0.2500 0.2500 0.2500
P1 0.1580 0.6140 0.6140
P2 0.6140 0.1580 0.6140
P3 0.6140 0.6140 0.1580
P4 0.6140 0.6140 0.6140

No. 9
Below is crystalline Co2PbW at its relaxed geometry, with properties calculated at the GGA-PBEsol level.

SG: Imm2 (44)
Density of states at the Fermi level, states/eV/cell: 3.9
E_tot, eV per formula unit: -30.68
Formation energy from the elements, eV/atom: 0.650
Magnetization, μB/f.u.: 0.509

a = 5.2423 Å, b = 5.2423 Å, c = 5.2423 Å
α = 147.98°, β = 130.53°, γ = 60.15°
Element x y z (fractional)
Co1 0.0000 0.0000 0.0000
Co2 0.7743 0.2743 0.5000
Pb1 0.2553 0.7553 0.5000
W1 0.5340 0.5340 0.0000

No. 10
Below is crystalline TlPdRu2Au at its relaxed geometry, with properties calculated at the GGA-PBEsol level.

SG: P4/mmm (123)
Density of states at the Fermi level, states/eV/cell: 7.1
E_tot, eV per formula unit: -24.16
Formation energy from the elements, eV/atom: 1.740
Magnetization, μB/f.u.: 3.406

a = 4.8001 Å, b = 4.8001 Å, c = 4.8808 Å
α = 90.00°, β = 90.00°, γ = 90.00°
Element x y z (fractional)
Tl1 0.0000 0.0000 0.0000
Pd1 0.5000 0.5000 0.0000
Ru1 0.0000 0.5000 0.5000
Ru2 0.5000 0.0000 0.5000
Au1 0.5000 0.5000 0.5000

No. 11
Below is crystalline LiScC3 at its relaxed geometry, with properties calculated at the GGA-PBEsol level.

SG: Pm-3m (221)
Density of states at the Fermi level, states/eV/cell: 1.7
E_tot, eV per formula unit: -26.63
Formation energy from the elements, eV/atom: 2.174
Magnetization, μB/f.u.: 0.000

a = 4.1989 Å, b = 4.1989 Å, c = 4.1989 Å
α = 90.00°, β = 90.00°, γ = 90.00°
Element x y z (fractional)
Li1 0.0000 0.0000 0.0000
Sc1 0.5000 0.5000 0.5000
C1 0.0000 0.5000 0.5000
C2 0.5000 0.0000 0.5000
C3 0.5000 0.5000 0.0000

No. 12
Below is crystalline Cs3Sb2Cl9 at its relaxed geometry, with properties calculated at the GGA-PBEsol level.

SG: Pnma (62)
Density of states at the Fermi level, states/eV/cell: 0.0
E_tot, eV per formula unit: -49.92
Magnetization, μB/f.u.: 0.000

a = 18.4308 Å, b = 7.5026 Å, c = 12.9275 Å
α = 90.00°, β = 90.00°, γ = 90.00°
Element x y z (fractional)
Cs1 0.0861 0.2500 0.0867
Cs2 0.0867 0.7500 0.5824
Cs3 0.2482 0.7500 0.2515
Cs4 0.2518 0.2500 0.7515
Cs5 0.4133 0.2500 0.0824
Cs6 0.4139 0.7500 0.5867
Cs7 0.5861 0.2500 0.4133
Cs8 0.5867 0.7500 0.9176
Cs9 0.7482 0.7500 0.2485
Cs10 0.7518 0.2500 0.7485
Cs11 0.9133 0.2500 0.4176
Cs12 0.9139 0.7500 0.9133
Sb1 0.0012 0.7500 0.2620
Sb2 0.1815 0.7500 0.9169
Sb3 0.3185 0.2500 0.4169
Sb4 0.4988 0.2500 0.7620
Sb5 0.5012 0.7500 0.2380
Sb6 0.6815 0.7500 0.5831
Sb7 0.8185 0.2500 0.0831
Sb8 0.9988 0.2500 0.7380
Cl1 0.0776 0.2500 0.5820
Cl2 0.0795 0.5099 0.3358
Cl3 0.0795 0.9901 0.3358
Cl4 0.0877 0.7500 0.0835
Cl5 0.0889 0.5032 0.8300
Cl6 0.0889 0.9968 0.8300
Cl7 0.2462 0.2500 0.2508
Cl8 0.2505 0.0017 0.0023
Cl9 0.2505 0.4983 0.0023
Cl10 0.2495 0.5017 0.5023
Cl11 0.2495 0.9983 0.5023
Cl12 0.2538 0.7500 0.7508
Cl13 0.4111 0.0032 0.3300
Cl14 0.4111 0.4968 0.3300
Cl15 0.4123 0.2500 0.5835
Cl16 0.4205 0.0099 0.8358
Cl17 0.4205 0.4901 0.8358
Cl18 0.4224 0.7500 0.0820
Cl19 0.5776 0.2500 0.9180
Cl20 0.5795 0.5099 0.1642
Cl21 0.5795 0.9901 0.1642
Cl22 0.5877 0.7500 0.4165
Cl23 0.5889 0.5032 0.6700
Cl24 0.5889 0.9968 0.6700
Cl25 0.7462 0.2500 0.2492
Cl26 0.7505 0.0017 0.4977
Cl27 0.7505 0.4983 0.4977
Cl28 0.7495 0.5017 0.9977
Cl29 0.7495 0.9983 0.9977
Cl30 0.7538 0.7500 0.7492
Cl31 0.9111 0.0032 0.1700
Cl32 0.9111 0.4968 0.1700
Cl33 0.9123 0.2500 0.9165
Cl34 0.9205 0.0099 0.6642
Cl35 0.9205 0.4901 0.6642
Cl36 0.9224 0.7500 0.4180

No. 13
Below is crystalline BaSr2Pb at its relaxed geometry, with properties calculated at the GGA-PBEsol level.

SG: Pmm2 (25)
Density of states at the Fermi level, states/eV/cell: 2.9
E_tot, eV per formula unit: -10.92
Formation energy from the elements, eV/atom: -0.272
Magnetization, μB/f.u.: 0.000

a = 4.0842 Å, b = 4.8097 Å, c = 8.6522 Å
α = 90.00°, β = 90.00°, γ = 90.00°
Element x y z (fractional)
Ba1 0.0000 0.0000 0.0000
Sr1 0.0000 0.0000 0.3990
Sr2 0.5000 0.5000 0.6782
Pb1 0.5000 0.5000 0.2226

No. 14
Below is crystalline SnSbIrO2 at its relaxed geometry, with properties calculated at the GGA-PBEsol level.

SG: P4/mmm (123)
Density of states at the Fermi level, states/eV/cell: 4.0
E_tot, eV per formula unit: -29.23
Magnetization, μB/f.u.: 0.002

a = 3.8740 Å, b = 3.8740 Å, c = 5.9570 Å
α = 90.00°, β = 90.00°, γ = 90.00°
Element x y z (fractional)
Sn1 0.0000 0.0000 0.0000
Sb1 0.5000 0.5000 0.0000
Ir1 0.0000 0.0000 0.5000
O1 0.0000 0.5000 0.5000
O2 0.5000 0.0000 0.5000

No. 15
Below is crystalline LaTl3 at its relaxed geometry, with properties calculated at the GGA-PBEsol level.

SG: I4/mmm (139)
Density of states at the Fermi level, states/eV/cell: 2.5
E_tot, eV per formula unit: -14.53
Formation energy from the elements, eV/atom: -0.322
Magnetization, μB/f.u.: 0.000

a = 5.9606 Å, b = 5.9606 Å, c = 5.9606 Å
α = 133.07°, β = 133.07°, γ = 68.54°
Element x y z (fractional)
La1 0.0000 0.0000 0.0000
Tl1 0.2500 0.7500 0.5000
Tl2 0.5000 0.5000 0.0000
Tl3 0.7500 0.2500 0.5000

No. 16
Below is crystalline NbInW2C at its relaxed geometry, with properties calculated at the GGA-PBEsol level.

SG: P4/mmm (123)
Density of states at the Fermi level, states/eV/cell: 4.7
E_tot, eV per formula unit: -48.20
Formation energy from the elements, eV/atom: 0.573
Magnetization, μB/f.u.: 0.000

a = 4.0981 Å, b = 4.0981 Å, c = 4.6849 Å
α = 90.00°, β = 90.00°, γ = 90.00°
Element x y z (fractional)
Nb1 0.0000 0.0000 0.0000
In1 0.5000 0.5000 0.0000
W1 0.0000 0.5000 0.5000
W2 0.5000 0.0000 0.5000
C1 0.5000 0.5000 0.5000

No. 17
Below is crystalline Ti2P2W at its relaxed geometry, with properties calculated at the GGA-PBEsol level.

SG: P4/mbm (127)
Density of states at the Fermi level, states/eV/cell: 5.7
E_tot, eV per formula unit: -46.74
Formation energy from the elements, eV/atom: -0.940
Magnetization, μB/f.u.: 0.000

a = 6.3623 Å, b = 6.3623 Å, c = 3.3980 Å
α = 90.00°, β = 90.00°, γ = 90.00°
Element x y z (fractional)
Ti1 0.1602 0.3398 0.0000
Ti2 0.3398 0.8398 0.0000
Ti3 0.6602 0.1602 0.0000
Ti4 0.8398 0.6602 0.0000
P1 0.1389 0.6389 0.5000
P2 0.3611 0.1389 0.5000
P3 0.6389 0.8611 0.5000
P4 0.8611 0.3611 0.5000
W1 0.0000 0.0000 0.5000
W2 0.5000 0.5000 0.5000

No. 18
Below is crystalline Al2ReHgBi at its relaxed geometry, with properties calculated at the GGA-PBEsol level.

SG: P4/mmm (123)
Density of states at the Fermi level, states/eV/cell: 3.5
E_tot, eV per formula unit: -18.10
Formation energy from the elements, eV/atom: 1.653
Magnetization, μB/f.u.: 3.283

a = 4.7483 Å, b = 4.7483 Å, c = 5.8142 Å
α = 90.00°, β = 90.00°, γ = 90.00°
Element x y z (fractional)
Al1 0.0000 0.5000 0.0000
Al2 0.5000 0.0000 0.0000
Re1 0.0000 0.0000 0.5000
Hg1 0.5000 0.5000 0.0000
Bi1 0.5000 0.5000 0.5000

No. 19
Below is crystalline NiTe3Ir at its relaxed geometry, with properties calculated at the GGA-PBEsol level.

SG: Pm-3m (221)
Density of states at the Fermi level, states/eV/cell: 4.3
E_tot, eV per formula unit: -21.90
Magnetization, μB/f.u.: 0.000

a = 4.8082 Å, b = 4.8082 Å, c = 4.8082 Å
α = 90.00°, β = 90.00°, γ = 90.00°
Element x y z (fractional)
Ni1 0.0000 0.0000 0.0000
Te1 0.0000 0.0000 0.5000
Te2 0.0000 0.5000 0.0000
Te3 0.5000 0.0000 0.0000
Ir1 0.5000 0.5000 0.5000

No. 20
Below is crystalline TiZnRe3 at its relaxed geometry, with properties calculated at the GGA-PBEsol level.

SG: Pm-3m (221)
Density of states at the Fermi level, states/eV/cell: 7.9
E_tot, eV per formula unit: -40.91
Formation energy from the elements, eV/atom: 1.798
Magnetization, μB/f.u.: 0.000

a = 4.4211 Å, b = 4.4211 Å, c = 4.4211 Å
α = 90.00°, β = 90.00°, γ = 90.00°
Element x y z (fractional)
Ti1 0.0000 0.0000 0.0000
Zn1 0.5000 0.5000 0.5000
Re1 0.0000 0.5000 0.5000
Re2 0.5000 0.0000 0.5000
Re3 0.5000 0.5000 0.0000